VASP calculation (SCAN) on a PBEsol-optimized structure of BaTiZnTe2.

Density (g/cm³): 3.523
Uncorrected formation energy (meV/atom): 898.4
Total DFT energy (no corrections) (eV per atom): -27.82
M_tot (μB/f.u.): 1.98

CIF file:
```
data_BaTiZnTe2
_chemical_formula_sum 'Ba1 Ti1 Zn1 Te2'
_symmetry_space_group_name_H-M 'P 4/m m m'
_symmetry_Int_Tables_number 123
_symmetry_space_group_name_Hall '-P 4 2'
_cell_length_a 6.309
_cell_length_b 6.309
_cell_length_c 5.989
_cell_angle_alpha 90.00
_cell_angle_beta 90.00
_cell_angle_gamma 90.00
loop_
_atom_site_label
_atom_site_type_symbol
_atom_site_fract_x
_atom_site_fract_y
_atom_site_fract_z
Ba1 Ba 0.000 0.000 0.000
Ti1 Ti 0.000 0.000 0.500
Zn1 Zn 0.500 0.500 0.500
Te1 Te 0.000 0.500 0.000
```